(1)
# KTlSi GGA-PBE relaxed
# V: 30.59 Å³/atom
# ΔE_f (raw): -0.013 eV per atom
# Density of states at the Fermi level: 2.38 states/eV/cell
data_KTlSi
_chemical_formula_sum 'K2 Tl2 Si2'
_symmetry_space_group_name_H-M 'P -1'
_symmetry_Int_Tables_number 2
_cell_length_a 3.866
_cell_length_b 5.651
_cell_length_c 9.064
_cell_angle_alpha 108.02
_cell_angle_beta 102.30
_cell_angle_gamma 90.08
loop_
_symmetry_equiv_pos_as_xyz
'x,y,z'
'-x,-y,-z'
loop_
_atom_site_label
_atom_site_type_symbol
_atom_site_fract_x
_atom_site_fract_y
_atom_site_fract_z
K1 K 0.145 0.395 0.290
Tl1 Tl 0.457 0.207 0.914
Si1 Si 0.288 0.040 0.576


(2)
# K2TlSi2 GGA-PBE relaxed
# V: 32.39 Å³/atom
# ΔE_f (raw): 0.177 eV per atom
# Density of states at the Fermi level: 4.50 states/eV/cell
data_K2TlSi2
_chemical_formula_sum 'K4 Tl2 Si4'
_symmetry_space_group_name_H-M 'P 4/m b m'
_symmetry_Int_Tables_number 127
_symmetry_space_group_name_Hall '-P 4 2ab'
_cell_length_a 7.900
_cell_length_b 7.900
_cell_length_c 5.190
_cell_angle_alpha 90.00
_cell_angle_beta 90.00
_cell_angle_gamma 90.00
loop_
_atom_site_label
_atom_site_type_symbol
_atom_site_fract_x
_atom_site_fract_y
_atom_site_fract_z
K1 K 0.191 0.309 0.000
Tl1 Tl 0.000 0.000 0.500
Si1 Si 0.099 0.599 0.500


(3)
# KTlSi3 GGA-PBE relaxed
# V: 31.78 Å³/atom
# ΔE_f (raw): 1.091 eV per atom
# Density of states at the Fermi level: 3.55 states/eV/cell
data_KTlSi3
_chemical_formula_sum 'K1 Tl1 Si3'
_symmetry_space_group_name_H-M 'P m -3 m'
_symmetry_Int_Tables_number 221
_symmetry_space_group_name_Hall '-P 4 2 3'
_cell_length_a 5.417
_cell_length_b 5.417
_cell_length_c 5.417
_cell_angle_alpha 90.00
_cell_angle_beta 90.00
_cell_angle_gamma 90.00
loop_
_atom_site_label
_atom_site_type_symbol
_atom_site_fract_x
_atom_site_fract_y
_atom_site_fract_z
K1 K 0.000 0.000 0.000
Tl1 Tl 0.500 0.500 0.500
Si1 Si 0.000 0.500 0.500


(4)
# KTlSi GGA-PBE relaxed
# V: 33.10 Å³/atom
# ΔE_f (raw): 0.118 eV per atom
# Density of states at the Fermi level: 0.08 states/eV/cell
data_KTlSi
_chemical_formula_sum 'K1 Tl1 Si1'
_symmetry_space_group_name_H-M 'P -6 m 2'
_symmetry_Int_Tables_number 187
_symmetry_space_group_name_Hall 'P -6 2'
_cell_length_a 4.5690
_cell_length_b 4.5690
_cell_length_c 5.4926
_cell_angle_alpha 90.00
_cell_angle_beta 90.00
_cell_angle_gamma 120.00
loop_
_atom_site_label
_atom_site_type_symbol
_atom_site_fract_x
_atom_site_fract_y
_atom_site_fract_z
K1 K 0.0000 0.0000 0.0000
Tl1 Tl 0.3333 0.6667 0.5000
Si1 Si 0.6667 0.3333 0.5000